Computed, not measured: an optimized crystal structure of CrAs2Au at the PBE level of DFT.

```
CrAs2Au
1.0
2.8917 0.0126 0.0000
-0.0120 2.8917 0.0000
0.0000 0.0000 8.9982
Cr Au As
1 1 2
Direct
0.5000 0.5000 0.7498
0.0000 0.0000 0.5313
0.5000 0.5000 0.2897
0.0000 0.0000 0.9292
```

Offset from the most stable computed form, kJ per mole of atoms: 11.0
ΔH_f (0 K), eV/atom: 0.209

=====

Computed, not measured: an optimized crystal structure of CaZnAgF6 at the PBE level of DFT.

```
CaZnAgF6
1.0
5.0136 0.0000 0.0000
0.0000 5.0136 0.0000
0.0000 0.0000 10.4603
F Ca Ag Zn
12 2 2 2
Direct
0.6934 0.6934 0.9886
0.3066 0.3066 0.9886
0.2154 0.7846 0.8313
0.8128 0.1872 0.1812
0.7154 0.7154 0.3313
0.8066 0.1934 0.4886
0.6872 0.6872 0.6812
0.1934 0.8066 0.4886
0.3128 0.3128 0.6812
0.1872 0.8128 0.1812
0.2846 0.2846 0.3313
0.7846 0.2154 0.8313
0.0000 0.0000 0.6686
0.5000 0.5000 0.1686
0.5000 0.5000 0.4979
0.0000 0.0000 0.9979
0.5000 0.5000 0.8313
0.0000 0.0000 0.3313
```

E_form (uncorrected), meV/atom: -2415

=====

Computed, not measured: an optimized crystal structure of RbHg17I at the PBE level of DFT.

```
RbHg17I
1.0
8.4876 0.1202 1.1358
1.0097 8.4282 1.1358
0.1335 0.1202 8.5622
Hg I Rb
17 1 1
Direct
0.6187 0.6187 0.1937
0.6187 0.1937 0.6187
0.8842 0.3411 0.3411
0.0079 0.2983 0.6867
0.6867 0.2983 0.0079
0.6867 0.0079 0.2983
0.9333 0.9333 0.9333
0.0079 0.6867 0.2983
0.2983 0.0079 0.6867
0.9654 0.5413 0.9654
0.3411 0.8842 0.3411
0.3411 0.3411 0.8842
0.9654 0.9654 0.5413
0.1937 0.6187 0.6187
0.2983 0.6867 0.0079
0.5413 0.9654 0.9654
0.1224 0.1224 0.1224
0.3427 0.3427 0.3427
0.6465 0.6465 0.6465
```

E_form (uncorrected), meV/atom: -108

=====

Number 1: calculated density 8.8 g cm⁻³, DOS at the Fermi energy 2.51 states/eV per cell, uncorrected energy -21.4 eV per cell. Number 2: calculated density 4.1 g cm⁻³, DOS at the Fermi energy 8.27 states/eV per cell, uncorrected energy -78.2 eV per cell. Number 3: calculated density 9.9 g cm⁻³, DOS at the Fermi energy 0.00 states/eV per cell, uncorrected energy -9.7 eV per cell.